# ThMgCu | Alexandria | PBE-GGA | optimized geometry
# density = 7.91 g/cm3
# D(E_F) = 4.893 states/eV per cell
# formation enthalpy at 0 K = -14 meV/atom
# volume = 134.22 Å³/cell
# crystal system = tetragonal
# calculated total energy = -4.384 eV per atom
data_ThMgCu
_symmetry_space_group_name_H-M 'I 4 m m'
_symmetry_Int_Tables_number 107
_symmetry_space_group_name_Hall 'I 4 -2'
_cell_length_a 3.297
_cell_length_b 3.297
_cell_length_c 12.345
_cell_angle_alpha 90.00
_cell_angle_beta 90.00
_cell_angle_gamma 90.00
loop_
_atom_site_label
_atom_site_type_symbol
_atom_site_fract_x
_atom_site_fract_y
_atom_site_fract_z
_atom_site_occupancy
Th1 Th 0.000 0.000 0.000 1
Mg1 Mg 0.000 0.000 0.284 1
Cu1 Cu 0.000 0.000 0.660 1